[1]
Material: Ba4GeF
Method: DFT, GGA-PBE
State: relaxed

Total moment: 3.88 μB per cell
Energy relative to the elements, uncorrected: -1.051 eV/atom
Raw total energy: -20.5 eV per formula unit

Cell: 9.6981 17.4520 7.5373 Å, 90.00 128.12 90.00°
With the nearest neighbours (Å) after each atom.
Space group C2/c (No. 15)
One atom of each set of equivalent atoms:
Ba 0.1694 0.2199 0.1572 [8 per cell]  2 Ge 3.37-3.77, 1 Ba 3.71
Ba 0.2484 0.0442 0.7176 [8 per cell]  2 F 2.72-2.86
Ge 0.0000 0.3850 0.7500 [4 per cell]  8 Ba 3.37-3.77
F 0.0000 0.0065 0.2500 [4 per cell]  4 Ba 2.72-2.86

***

[2]
Material: Ba2GeF8
Method: DFT, GGA-PBE
State: relaxed

Total moment: 0.22 μB per cell
Energy relative to the elements, uncorrected: -3.282 eV/atom
Raw total energy: -59.5 eV per formula unit

Cell: 6.4539 15.3051 4.7857 Å, 90.00 131.20 90.00°
With the nearest neighbours (Å) after each atom.
Space group C2/m (No. 12)
One atom of each set of equivalent atoms:
Ba 0.0000 0.1611 0.0000 [4 per cell]  8 F 2.65-2.87
Ge 0.0000 0.5000 0.0000 [2 per cell]  6 F 1.82-1.84
F 0.0000 0.2567 0.5000 [4 per cell]  4 Ba 2.75-2.80, 2 F 2.99
F 0.2099 0.4133 0.3369 [8 per cell]  1 Ge 1.82
F 0.2316 0.5000 0.9023 [4 per cell]  1 Ge 1.84

***

[3]
Material: BaGe2F6
Method: DFT, GGA-PBE
State: relaxed

Total moment: 0.00 μB per cell
Energy relative to the elements, uncorrected: -2.759 eV/atom
Raw total energy: -47.2 eV per formula unit

Cell: 11.4429 8.9129 8.0743 Å, 90.00 124.24 90.00°
With the nearest neighbours (Å) after each atom.
Space group C2/c (No. 15)
One atom of each set of equivalent atoms:
Ba 0.0000 0.1651 0.2500 [4 per cell]  10 F 2.72-2.95
Ge 0.1665 0.4159 0.7695 [8 per cell]  3 F 1.89-1.92
F 0.1126 0.3904 0.1560 [8 per cell]  1 Ge 1.89
F 0.1367 0.0311 0.0663 [8 per cell]  1 Ge 1.92
F 0.1973 0.3571 0.5695 [8 per cell]  1 Ge 1.91

***

[4]
Material: BaGeF4
Method: DFT, GGA-PBE
State: relaxed

Total moment: 0.00 μB per cell
Energy relative to the elements, uncorrected: -2.892 eV/atom
Raw total energy: -31.4 eV per formula unit

Cell: 4.4841 16.6912 6.1008 Å, 90.00 90.00 90.00°
With the nearest neighbours (Å) after each atom.
Space group Cmcm (No. 63)
One atom of each set of equivalent atoms:
Ba 0.0000 0.1783 0.2500 [4 per cell]  6 F 2.68-2.69
Ge 0.0000 0.4120 0.2500 [4 per cell]  6 F 2.12-2.36
F 0.0000 0.1038 0.7500 [4 per cell]  2 Ge 2.26
F 0.0000 0.3077 0.5115 [8 per cell]  1 Ge 2.36
F 0.0000 0.5000 0.0000 [4 per cell]  2 Ge 2.12

***

[5]
Material: BaGeF5
Method: DFT, GGA-PBE
State: relaxed

Total moment: 0.00 μB per cell
Energy relative to the elements, uncorrected: -2.875 eV/atom
Raw total energy: -36.0 eV per formula unit

Cell: 9.9582 7.1886 8.3763 Å, 90.00 114.78 90.00°
With the nearest neighbours (Å) after each atom.
Space group C2/c (No. 15)
One atom of each set of equivalent atoms:
Ba 0.0000 0.0408 0.2500 [4 per cell]  6 F 2.59-2.65
Ge 0.0000 0.5000 0.0000 [4 per cell]  6 F 1.94-2.11
F 0.0000 0.4592 0.2500 [4 per cell]  2 Ge 2.11
F 0.0124 0.2196 0.9800 [8 per cell]  1 Ge 2.03
F 0.2144 0.4812 0.6083 [8 per cell]  1 Ge 1.94

***

[6]
Material: Ba2GeF
Method: DFT, GGA-PBE
State: relaxed

Total moment: 3.96 μB per cell
Energy relative to the elements, uncorrected: -1.445 eV/atom
Raw total energy: -16.1 eV per formula unit

Cell: 6.7721 6.7721 13.4709 Å, 90.00 90.00 90.00°
With the nearest neighbours (Å) after each atom.
Space group I-42d (No. 122)
One atom of each set of equivalent atoms:
Ba 0.1862 0.2500 0.1250 [8 per cell]  2 F 2.70
Ge 0.0000 0.0000 0.5000 [4 per cell]  4 Ba 3.20
F 0.0000 0.0000 0.0000 [4 per cell]  4 Ba 2.70